# 1
Here is an optimized crystal structure of LiAc2PmTl4 from Alexandria via LeMat-Bulk. Energies are from PBE-GGA.

```
data_LiAc2PmTl4
_space_group_name_H-M_alt 'R -3 m'
_space_group_IT_number 166
_space_group_name_Hall '-R 3 2"'
_cell_length_a 5.5394
_cell_length_b 5.5394
_cell_length_c 28.2878
_cell_angle_alpha 90.00
_cell_angle_beta 90.00
_cell_angle_gamma 120.00
loop_
_atom_site_label
_atom_site_fract_x
_atom_site_fract_y
_atom_site_fract_z
Li1 0.0000 0.0000 0.0000
Ac1 0.0000 0.0000 0.2556
Pm1 0.0000 0.0000 0.5000
Tl1 0.0000 0.0000 0.1257
Tl2 0.0000 0.0000 0.3739
```

Computed properties:
density: 9.4 Mg/m³
E: -3.368 eV per atom
formation energy from the elements: -2.60 eV per formula unit
Fermi-level density of states: 0.823 states/eV per atom

***

# 2
Here is an optimized crystal structure of Pm7Tm3Mg from Alexandria via LeMat-Bulk. Energies are from PBE-GGA.

```
data_Pm7Tm3Mg
_space_group_name_H-M_alt 'P 3 m 1'
_space_group_IT_number 156
_cell_length_a 7.0748
_cell_length_b 7.0748
_cell_length_c 8.6020
_cell_angle_alpha 90.00
_cell_angle_beta 90.00
_cell_angle_gamma 120.00
loop_
_space_group_symop_operation_xyz
'x,y,z'
'-y,x-y,z'
'-x+y,-x,z'
'-y,-x,z'
'-x+y,y,z'
'x,x-y,z'
loop_
_atom_site_label
_atom_site_fract_x
_atom_site_fract_y
_atom_site_fract_z
Pm1 0.0000 0.0000 0.0000
Pm2 0.1642 0.3283 0.6640
Pm3 0.5003 0.0007 0.0029
Tm1 0.3315 0.1658 0.3329
Mg1 0.6667 0.3333 0.6636
```

Computed properties:
density: 6.9 Mg/m³
ΔE to the lowest computed polymorph: 79 meV per atom
E: -4.203 eV per atom
formation energy from the elements: 2.04 eV per formula unit
Fermi-level density of states: 1.304 states/eV per atom

***

# 3
Here is an optimized crystal structure of Be2AlP from Alexandria via LeMat-Bulk. Energies are from PBE-GGA.

```
data_Be2AlP
_space_group_name_H-M_alt 'P 1 m 1'
_space_group_IT_number 6
_cell_length_a 2.5877
_cell_length_b 3.2664
_cell_length_c 6.0659
_cell_angle_alpha 90.00
_cell_angle_beta 102.10
_cell_angle_gamma 90.00
loop_
_space_group_symop_operation_xyz
'x,y,z'
'x,-y,z'
loop_
_atom_site_label
_atom_site_fract_x
_atom_site_fract_y
_atom_site_fract_z
Be1 0.0000 0.0000 0.0000
Be2 0.4108 0.5000 0.7996
Al1 0.6250 0.5000 0.2542
P1 0.8139 0.0000 0.6286
```

Computed properties:
density: 2.5 Mg/m³
ΔE to the lowest computed polymorph: 31 meV per atom
E: -3.973 eV per atom
formation energy from the elements: 0.71 eV per formula unit
Fermi-level density of states: 0.251 states/eV per atom

***

# 4
Here is an optimized crystal structure of NbSiAs2 from Alexandria via LeMat-Bulk. Energies are from PBE-GGA.

```
data_NbSiAs2
_space_group_name_H-M_alt 'I -4 2 d'
_space_group_IT_number 122
_space_group_name_Hall 'I -4 2bw'
_cell_length_a 5.9433
_cell_length_b 5.9433
_cell_length_c 10.5752
_cell_angle_alpha 90.00
_cell_angle_beta 90.00
_cell_angle_gamma 90.00
loop_
_atom_site_label
_atom_site_fract_x
_atom_site_fract_y
_atom_site_fract_z
Nb1 0.0000 0.0000 0.0000
Si1 0.0000 0.0000 0.5000
As1 0.2302 0.2500 0.6250
```

Computed properties:
density: 4.8 Mg/m³
E: -5.958 eV per atom
Fermi-level density of states: 0.992 states/eV per atom
formation energy (no corrections): 0.24 eV per atom

***

# 5
Here is an optimized crystal structure of LaNd2Er4 from Alexandria via LeMat-Bulk. Energies are from PBE-GGA.

```
data_LaNd2Er4
_space_group_name_H-M_alt 'P 1 2/m 1'
_space_group_IT_number 10
_cell_length_a 6.8874
_cell_length_b 10.4274
_cell_length_c 7.0010
_cell_angle_alpha 90.00
_cell_angle_beta 106.35
_cell_angle_gamma 90.00
loop_
_space_group_symop_operation_xyz
'x,y,z'
'-x,-y,-z'
'-x,y,-z'
'x,-y,z'
loop_
_atom_site_label
_atom_site_fract_x
_atom_site_fract_y
_atom_site_fract_z
La1 0.0000 0.0000 0.0000
La2 0.5000 0.0000 0.0000
Nd1 0.0000 0.0000 0.5000
Nd2 0.0000 0.5000 0.0000
Nd3 0.0000 0.5000 0.5000
Nd4 0.5000 0.5000 0.5000
Er1 0.2682 0.2225 0.3118
Er2 0.2717 0.2838 0.8112
```

Computed properties:
density: 7.5 Mg/m³
E: -4.457 eV per atom
formation energy from the elements: 1.51 eV per formula unit
Fermi-level density of states: 1.388 states/eV per atom

***

# 6
Here is an optimized crystal structure of K2BePdRh from Alexandria via LeMat-Bulk. Energies are from PBE-GGA.

```
data_K2BePdRh
_space_group_name_H-M_alt 'P 4/m m m'
_space_group_IT_number 123
_space_group_name_Hall '-P 4 2'
_cell_length_a 6.0955
_cell_length_b 6.0955
_cell_length_c 4.8005
_cell_angle_alpha 90.00
_cell_angle_beta 90.00
_cell_angle_gamma 90.00
loop_
_atom_site_label
_atom_site_fract_x
_atom_site_fract_y
_atom_site_fract_z
K1 0.0000 0.5000 0.0000
Be1 0.0000 0.0000 0.5000
Pd1 0.5000 0.5000 0.0000
Rh1 0.5000 0.5000 0.5000
```

Computed properties:
density: 2.8 Mg/m³
E: -2.603 eV per atom
formation energy from the elements: 5.45 eV per formula unit
Fermi-level density of states: 1.346 states/eV per atom

***

# 7
Here is an optimized crystal structure of LaHo2Er9 from Alexandria via LeMat-Bulk. Energies are from PBE-GGA.

```
data_LaHo2Er9
_space_group_name_H-M_alt 'P 4/m m m'
_space_group_IT_number 123
_space_group_name_Hall '-P 4 2'
_cell_length_a 4.9931
_cell_length_b 4.9931
_cell_length_c 14.9998
_cell_angle_alpha 90.00
_cell_angle_beta 90.00
_cell_angle_gamma 90.00
loop_
_atom_site_label
_atom_site_fract_x
_atom_site_fract_y
_atom_site_fract_z
La1 0.0000 0.0000 0.0000
Ho1 0.0000 0.0000 0.3346
Er1 0.0000 0.5000 0.1709
Er2 0.0000 0.5000 0.5000
Er3 0.5000 0.5000 0.0000
Er4 0.5000 0.5000 0.3360
```

Computed properties:
density: 8.8 Mg/m³
ΔE to the lowest computed polymorph: 0 meV per atom
E: -4.567 eV per atom
formation energy from the elements: 0.35 eV per formula unit
Fermi-level density of states: 1.429 states/eV per atom

***

# 8
Here is an optimized crystal structure of KMg2Mn from Alexandria via LeMat-Bulk. Energies are from PBE-GGA.

```
data_KMg2Mn
_space_group_name_H-M_alt 'I m m m'
_space_group_IT_number 71
_space_group_name_Hall '-I 2 2'
_cell_length_a 3.1933
_cell_length_b 5.8930
_cell_length_c 11.7377
_cell_angle_alpha 90.00
_cell_angle_beta 90.00
_cell_angle_gamma 90.00
loop_
_atom_site_label
_atom_site_fract_x
_atom_site_fract_y
_atom_site_fract_z
K1 0.0000 0.0000 0.0000
Mg1 0.0000 0.5000 0.2055
Mn1 0.0000 0.0000 0.5000
```

Computed properties:
density: 2.1 Mg/m³
ΔE to the lowest computed polymorph: 174 meV per atom
E: -2.839 eV per atom
formation energy from the elements: 2.10 eV per formula unit
Fermi-level density of states: 0.873 states/eV per atom

***

# 9
Here is an optimized crystal structure of BaLi3Pb3 from Alexandria via LeMat-Bulk. Energies are from PBE-GGA.

```
data_BaLi3Pb3
_space_group_name_H-M_alt 'P m -3 n'
_space_group_IT_number 223
_space_group_name_Hall '-P 4n 2 3'
_cell_length_a 7.5648
_cell_length_b 7.5648
_cell_length_c 7.5648
_cell_angle_alpha 90.00
_cell_angle_beta 90.00
_cell_angle_gamma 90.00
loop_
_atom_site_label
_atom_site_fract_x
_atom_site_fract_y
_atom_site_fract_z
Ba1 0.0000 0.0000 0.0000
Li1 0.0000 0.2500 0.5000
Pb1 0.0000 0.5000 0.2500
```

Computed properties:
density: 6.0 Mg/m³
ΔE to the lowest computed polymorph: 224 meV per atom
E: -2.731 eV per atom
formation energy from the elements: -0.33 eV per formula unit
Fermi-level density of states: 0.585 states/eV per atom

***

# 10
Here is an optimized crystal structure of Mg2RuAu from Alexandria via LeMat-Bulk. Energies are from PBE-GGA.

```
data_Mg2RuAu
_space_group_name_H-M_alt 'C 1 m 1'
_space_group_IT_number 8
_cell_length_a 10.0947
_cell_length_b 3.0108
_cell_length_c 4.7391
_cell_angle_alpha 90.00
_cell_angle_beta 109.64
_cell_angle_gamma 90.00
loop_
_space_group_symop_operation_xyz
'x,y,z'
'x,-y,z'
'x+1/2,y+1/2,z'
'x+1/2,-y+1/2,z'
loop_
_atom_site_label
_atom_site_fract_x
_atom_site_fract_y
_atom_site_fract_z
Mg1 0.0000 0.0000 0.0000
Mg2 0.2233 0.0000 0.6109
Ru1 0.4805 0.0000 0.5005
Au1 0.2470 0.5000 0.1195
```

Computed properties:
density: 8.5 Mg/m³
E: -4.088 eV per atom
formation energy from the elements: -0.61 eV per formula unit
Fermi-level density of states: 0.444 states/eV per atom